{
  "formula": "Tc4O11",
  "functional": "PBE",
  "state": "optimized geometry",
  "polymorph_energy_ev_per_atom": 0.106,
  "cell": [[-1.434, 8.221, -5.220], [2.367, 0.579, 4.378], [3.168, -2.283, -2.653]],
  "species": ["O", "O", "O", "O", "O", "O", "O", "O", "O", "O", "O", "Tc", "Tc", "Tc", "Tc"],
  "fractional_positions": [[0.283, 0.900, 0.232], [0.107, 0.211, 0.235], [0.967, 0.612, 0.238], [0.797, 0.968, 0.240], [0.611, 0.210, 0.301], [0.409, 0.749, 0.726], [0.904, 0.847, 0.733], [0.220, 0.075, 0.751], [0.016, 0.441, 0.768], [0.690, 0.039, 0.790], [0.541, 0.390, 0.812], [0.578, 0.785, 0.032], [0.917, 0.225, 0.040], [0.472, 0.017, 0.488], [0.095, 0.875, 0.921]]
}